[1]
TbCe2US5 | PBE | optimized geometry

Structure (POSCAR):
```
TbCe2US5
1.0
4.918 0.000 0.000
0.000 4.918 0.000
0.000 0.000 10.415
S Tb U Ce
5 1 1 2
direct
0.000 0.500 0.500
0.500 0.500 0.000
0.000 0.000 0.246
0.500 0.000 0.500
0.000 0.000 0.754
0.000 0.000 0.500
0.000 0.000 0.000
0.500 0.500 0.705
0.500 0.500 0.295
```

Computed properties:
- energy relative to the elements, uncorrected (eV per atom) = -1.24
- N(E_F) (states/eV/cell) = 21.96
- VASP energy (eV per cell) = -59.55
- size of the total moment (μB/f.u.) = 6.9

[2]
MnV3Fe | PBE | optimized geometry

Structure (POSCAR):
```
MnV3Fe
1.0
0.361 -4.866 -0.350
5.118 -0.950 -5.149
5.441 -1.628 4.620
Fe Mn V
4 4 12
direct
0.541 0.529 0.676
0.041 0.676 0.529
0.959 0.324 0.471
0.459 0.471 0.324
0.750 0.163 0.837
0.250 0.076 0.924
0.750 0.924 0.076
0.250 0.837 0.163
0.850 0.264 0.148
0.884 0.972 0.372
0.150 0.736 0.852
0.650 0.852 0.736
0.384 0.372 0.972
0.483 0.783 0.430
0.350 0.148 0.264
0.616 0.628 0.028
0.116 0.028 0.628
0.017 0.570 0.217
0.983 0.430 0.783
0.517 0.217 0.570
```

Computed properties:
- N(E_F) (states/eV/cell) = 23.59
- VASP energy (eV per cell) = -179.07
- energy above the most stable polymorph in this dataset (eV/atom) = 0.193
- energy relative to the elements (eV per atom) = 0.044
- size of the total moment (μB/f.u.) = 0.0

[3]
Zn11Pd4Au9 | PBE | optimized geometry

Structure (POSCAR):
```
Zn11Pd4Au9
1.0
2.877 0.000 0.000
0.000 11.072 -4.738
0.000 -0.006 12.043
Au Pd Zn
9 4 11
direct
0.500 0.384 0.841
0.500 0.616 0.159
0.500 0.159 0.616
0.500 0.841 0.384
0.500 0.974 0.797
0.500 0.026 0.203
0.500 0.203 0.026
0.500 0.500 0.500
0.500 0.797 0.974
0.500 0.425 0.246
0.500 0.575 0.754
0.500 0.754 0.575
0.500 0.246 0.425
0.000 0.593 0.949
0.000 0.407 0.051
0.000 0.000 0.000
0.000 0.949 0.593
0.000 0.819 0.181
0.000 0.242 0.242
0.000 0.379 0.621
0.000 0.181 0.819
0.000 0.051 0.407
0.000 0.758 0.758
0.000 0.621 0.379
```

Computed properties:
- N(E_F) (states/eV/cell) = 6.70
- VASP energy (eV per cell) = -71.00
- energy relative to the elements (eV per atom) = -0.280
- size of the total moment (μB/f.u.) = 0.0

[4]
SrVH2 | PBE | optimized geometry

Structure (POSCAR):
```
SrVH2
1.0
5.388 0.000 0.000
0.000 5.388 0.000
2.694 2.694 3.754
H V Sr
4 2 2
direct
0.229 0.625 0.250
0.875 0.771 0.750
0.521 0.125 0.250
0.375 0.479 0.750
0.500 0.500 0.000
0.250 0.750 0.500
0.000 0.000 0.000
0.750 0.250 0.500
```

Computed properties:
- N(E_F) (states/eV/cell) = 6.66
- VASP energy (eV per cell) = -33.77
- energy above the most stable polymorph in this dataset (eV/atom) = 0.000
- size of the total moment (μB/f.u.) = 0.8

[5]
TlPtS4 | PBE | optimized geometry

Structure (POSCAR):
```
TlPtS4
1.0
8.386 4.122 -0.931
0.645 6.345 -3.561
0.358 -0.961 6.567
S Pt Tl
8 2 2
direct
0.021 0.728 0.037
0.526 0.710 0.982
0.371 0.071 0.784
0.473 0.290 0.018
0.629 0.929 0.216
0.129 0.943 0.237
0.979 0.272 0.963
0.871 0.057 0.763
0.242 0.007 0.006
0.758 0.993 0.994
0.750 0.513 0.491
0.250 0.487 0.509
```

Computed properties:
- energy relative to the elements, uncorrected (eV per atom) = -0.19
- N(E_F) (states/eV/cell) = 6.13
- VASP energy (eV per cell) = -52.13
- size of the total moment (μB/f.u.) = 0.0

[6]
InC3 | PBE | optimized geometry

Structure (POSCAR):
```
InC3
1.0
-2.224 0.094 -2.445
0.657 -3.160 -0.718
-3.177 -1.306 2.840
In C
1 3
direct
0.500 0.500 0.750
0.500 0.500 0.250
0.000 0.000 0.102
0.000 0.000 0.398
```

Computed properties:
- N(E_F) (states/eV/cell) = 1.03
- VASP energy (eV per cell) = -20.68
- energy above the most stable polymorph in this dataset (eV/atom) = 1.533
- energy relative to the elements (eV per atom) = 2.433
- size of the total moment (μB/f.u.) = 0.0

[7]
K2TaAs | PBE | optimized geometry

Structure (POSCAR):
```
K2TaAs
1.0
4.410 -0.214 0.089
2.389 3.713 0.089
2.124 1.093 9.668
Ta K As
1 2 1
direct
0.458 0.458 0.625
0.220 0.220 0.343
0.029 0.029 0.906
0.792 0.792 0.625
```

Computed properties:
- N(E_F) (states/eV/cell) = 3.43
- VASP energy (eV per cell) = -17.43
- energy relative to the elements (eV per atom) = 0.316
- size of the total moment (μB/f.u.) = 2.1

[8]
AgP3Br | PBE | optimized geometry

Structure (POSCAR):
```
AgP3Br
1.0
-2.205 4.326 0.829
-3.587 -2.302 2.470
2.557 0.502 4.181
P Br Ag
3 1 1
direct
0.000 0.000 0.500
0.500 0.000 0.000
0.000 0.500 0.000
0.500 0.500 0.500
0.000 0.000 0.000
```

Computed properties:
- energy relative to the elements, uncorrected (eV per atom) = 1.31
- N(E_F) (states/eV/cell) = 4.74
- VASP energy (eV per cell) = -14.21
- energy above the most stable polymorph in this dataset (eV/atom) = 0.000
- size of the total moment (μB/f.u.) = 3.2